Computed, not measured: a geometry-optimized LaZn2Mo structure at the GGA-PBE level of DFT.

Structure (extended XYZ):
```
4
Lattice="3.044 0.000 0.000 0.000 3.896 0.000 -0.015 0.000 6.569" Properties=species:S:1:pos:R:3 pbc="T T T"
La 0.000 0.000 0.000
Zn 1.510 1.948 4.548
Zn 1.520 1.948 2.021
Mo -0.007 0.000 3.284
```

For the distance to the lowest polymorph of the same formula, the calculation gives 0.0000 eV/atom. As for the formation energy: 0.406 eV/f.u.

***

Computed, not measured: a geometry-optimized Nd6Zn5Au structure at the GGA-PBE level of DFT.

Structure (extended XYZ):
```
12
Lattice="2.612 -7.850 0.000 2.612 7.850 0.000 0.000 0.000 7.366" Properties=species:S:1:pos:R:3 pbc="T T T"
Nd 0.000 0.000 1.825
Nd 0.000 0.000 5.542
Nd 2.612 2.617 1.813
Nd 2.612 2.617 5.554
Nd 2.612 -2.617 1.813
Nd 2.612 -2.617 5.554
Zn 2.612 5.205 0.000
Zn 2.612 5.131 3.683
Zn 2.612 0.000 0.000
Zn 2.612 -5.131 3.683
Zn 2.612 -5.205 0.000
Au 2.612 0.000 3.683
```

As for the formation energy: -4.582 eV/f.u.

***

Computed, not measured: a geometry-optimized AlGaPd structure at the GGA-PBE level of DFT.

Structure (extended XYZ):
```
6
Lattice="3.380 0.000 0.000 0.000 3.380 0.000 0.000 0.000 8.111" Properties=species:S:1:pos:R:3 pbc="T T T"
Al 0.000 0.000 0.000
Al 1.690 1.690 4.055
Ga 0.000 0.000 5.473
Ga 1.690 1.690 1.417
Pd 0.000 0.000 2.772
Pd 1.690 1.690 6.827
```

As for the formation energy: -1.530 eV/f.u.

***

Computed, not measured: a geometry-optimized LaMg2CdRh structure at the GGA-PBE level of DFT.

Structure (extended XYZ):
```
5
Lattice="5.120 0.000 0.000 0.000 5.120 0.000 0.000 0.000 5.319" Properties=species:S:1:pos:R:3 pbc="T T T"
La 0.000 0.000 0.000
Mg 0.000 2.560 2.659
Mg 2.560 0.000 2.659
Cd 2.560 2.560 0.000
Rh 0.000 0.000 2.659
```

For the distance to the lowest polymorph of the same formula, the calculation gives 0.0000 eV/atom. As for the formation energy: -1.494 eV/f.u.